Here is an optimized crystal structure of CeAlTc from Alexandria. Energies are from PBE-GGA.

Cell lengths 5.205, 3.993, 6.477 Å; angles 90.00, 104.49, 90.00 degrees
Fractional positions:
Ce: 0.212 0.250 0.363
Ce: 0.788 0.750 0.637
Al: 0.330 0.250 0.891
Al: 0.670 0.750 0.109
Tc: 0.179 0.750 0.121
Tc: 0.821 0.250 0.879

crystal system: monoclinic
space group: P2_1/m (11)
DFT formation energy: -0.149 eV per atom

Here is an optimized crystal structure of K2ThNbO6 from Alexandria. Energies are from PBE-GGA.

Cell lengths 6.119, 6.119, 6.119 Å; angles 60.00, 60.00, 60.00 degrees
Fractional positions:
K: 0.250 0.250 0.250
K: 0.750 0.750 0.750
Th: 0.000 0.000 0.000
Nb: 0.500 0.500 0.500
O: 0.266 0.266 0.734
O: 0.266 0.734 0.266
O: 0.266 0.734 0.734
O: 0.734 0.266 0.266
O: 0.734 0.266 0.734
O: 0.734 0.734 0.266

crystal system: cubic
E_form (uncorrected): -25.209 eV/f.u.
space group: Fm-3m (225)

Here is an optimized crystal structure of CeY3Pu2S6 from Alexandria. Energies are from PBE-GGA.

Cell lengths 6.817, 6.817, 6.883 Å; angles 99.49, 99.49, 120.01 degrees
Fractional positions:
Ce: 0.000 0.000 0.000
Y: 0.166 0.834 0.500
Y: 0.500 0.500 0.500
Y: 0.834 0.166 0.500
Pu: 0.333 0.667 0.000
Pu: 0.667 0.333 0.000
S: 0.085 0.422 0.255
S: 0.252 0.252 0.744
S: 0.422 0.085 0.255
S: 0.578 0.915 0.745
S: 0.748 0.748 0.256
S: 0.915 0.578 0.745

crystal system: monoclinic
E_form (uncorrected): -23.445 eV/f.u.
space group: C2/m (12)

Here is an optimized crystal structure of ScNiAu3 from Alexandria. Energies are from PBE-GGA.

Cell lengths 4.740, 4.740, 4.740 Å; angles 90.00, 90.00, 90.00 degrees
Fractional positions:
Sc: 0.000 0.000 0.000
Ni: 0.500 0.500 0.500
Au: 0.000 0.500 0.500
Au: 0.500 0.000 0.500
Au: 0.500 0.500 0.000

crystal system: cubic
space group: Pm-3m (221)
DFT formation energy: 0.203 eV per atom

Here is an optimized crystal structure of NaAgHg2Pt from Alexandria. Energies are from PBE-GGA.

Cell lengths 5.264, 5.264, 5.271 Å; angles 90.00, 90.00, 90.00 degrees
Fractional positions:
Na: 0.000 0.000 0.000
Ag: 0.500 0.500 0.000
Hg: 0.000 0.500 0.500
Hg: 0.500 0.000 0.500
Pt: 0.500 0.500 0.500

crystal system: tetragonal
space group: P4/mmm (123)
DFT formation energy: 0.013 eV per atom

Here is an optimized crystal structure of Li2La2SnPd5 from Alexandria. Energies are from PBE-GGA.

Cell lengths 9.790, 9.790, 3.842 Å; angles 90.00, 90.00, 90.00 degrees
Fractional positions:
Li: 0.119 0.381 0.000
Li: 0.381 0.881 0.000
Li: 0.619 0.119 0.000
Li: 0.881 0.619 0.000
La: 0.178 0.678 0.000
La: 0.322 0.178 0.000
La: 0.678 0.822 0.000
La: 0.822 0.322 0.000
Sn: 0.000 0.000 0.000
Sn: 0.500 0.500 0.000
Pd: 0.000 0.500 0.500
Pd: 0.067 0.211 0.500
Pd: 0.211 0.933 0.500
Pd: 0.289 0.433 0.500
Pd: 0.433 0.711 0.500
Pd: 0.500 0.000 0.500
Pd: 0.567 0.289 0.500
Pd: 0.711 0.567 0.500
Pd: 0.789 0.067 0.500
Pd: 0.933 0.789 0.500

crystal system: tetragonal
space group: P4/mbm (127)
DFT formation energy: -0.683 eV per atom

Here is an optimized crystal structure of SrSmAs2Rh2 from Alexandria. Energies are from PBE-GGA.

Cell lengths 4.235, 4.235, 8.597 Å; angles 90.00, 90.00, 120.00 degrees
Fractional positions:
Sr: 0.000 0.000 0.000
Sm: 0.000 0.000 0.500
As: 0.333 0.667 0.264
As: 0.667 0.333 0.736
Rh: 0.333 0.667 0.731
Rh: 0.667 0.333 0.269

crystal system: trigonal
space group: P-3m1 (164)
DFT formation energy: -0.948 eV per atom

Here is an optimized crystal structure of Er7Ga2Hg2 from Alexandria. Energies are from PBE-GGA.

Cell lengths 6.567, 6.567, 7.669 Å; angles 90.00, 90.00, 110.23 degrees
Fractional positions:
Er: 0.000 0.000 0.000
Er: 0.000 0.500 0.292
Er: 0.000 0.500 0.708
Er: 0.500 0.000 0.292
Er: 0.500 0.000 0.708
Er: 0.500 0.500 0.274
Er: 0.500 0.500 0.726
Ga: 0.171 0.171 0.500
Ga: 0.829 0.829 0.500
Hg: 0.294 0.706 0.000
Hg: 0.706 0.294 0.000

crystal system: orthorhombic
space group: Cmmm (65)
DFT formation energy: -0.108 eV per atom

Results for calculated density: 6.8, 5.1, 6.9, 10.8, 8.3, 8.5, 7.4, 9.2 (in g/cm3, following the order of the records).